# 1
15
Lattice="-3.129 -2.371 -1.865 2.172 -3.635 0.977 -8.680 -0.948 15.769" Properties=species:S:1:pos:R:3 comment="PBE-GGA Pu4Co3Sb8, optimized geometry" spacegroup=P-4m2 magmom_total_mub_per_cell=9.098 e_form_raw_ev_per_atom=-0.146 e_tot_ev_per_atom=-7.587 pbc="T T T"
Pu -4.937 -1.553 5.194
Pu -9.246 -2.024 13.023
Pu 0.087 -1.927 2.303
Pu -4.222 -2.397 10.131
Co -4.818 -3.477 7.441
Co 0.000 0.000 0.000
Co -4.340 -0.474 7.885
Sb -2.181 -1.253 0.187
Sb -6.592 -1.734 8.202
Sb -2.566 -2.216 7.124
Sb -6.978 -2.698 15.138
Sb -2.674 -3.243 3.545
Sb -6.963 -3.711 11.337
Sb -2.192 -0.239 3.983
Sb -6.488 -0.708 11.787

---

# 2
6
Lattice="-0.420 2.469 3.231 -1.263 -4.741 3.457 7.757 -0.686 1.549" Properties=species:S:1:pos:R:3 comment="PBE-GGA SnSbSe, optimized geometry" spacegroup=P-1 magmom_total_mub_per_cell=0.000 e_form_raw_ev_per_atom=-0.145 e_tot_ev_per_atom=-4.015 e_above_lowest_polymorph_ev_per_atom=0.1021 pbc="T T T"
Sn 1.830 -3.087 3.898
Sn 4.244 0.129 4.338
Sb 6.566 -3.177 4.589
Sb -0.492 0.218 3.648
Se 3.481 -2.103 5.948
Se 2.594 -0.855 2.289

---

# 3
5
Lattice="-0.398 1.120 -4.423 -2.179 -3.941 -0.802 -4.007 2.037 0.876" Properties=species:S:1:pos:R:3 comment="PBE-GGA MnGaFeAs2, optimized geometry" spacegroup=P4/mmm magmom_total_mub_per_cell=5.156 e_tot_ev_per_atom=-5.506 delta_e_f_ev_per_atom=0.486 pbc="T T T"
As -2.004 1.019 0.438
As -0.199 0.560 -2.212
Mn -3.292 -0.392 -2.174
Fe 0.000 0.000 0.000
Ga -1.089 -1.970 -0.401

---

# 4
4
Lattice="-4.860 1.381 -0.187 -1.963 -2.171 -4.122 2.661 -2.035 3.789" Properties=species:S:1:pos:R:3 comment="PBE-GGA ScAg2Au, optimized geometry" spacegroup=I-4m2 magmom_total_mub_per_cell=0.000 e_tot_ev_per_atom=-4.195 e_above_lowest_polymorph_ev_per_atom=0.0000 delta_e_f_ev_per_atom=-0.368 pbc="T T T"
Sc -1.357 -2.300 -1.243
Au -3.412 -0.395 -2.155
Ag 2.661 -2.035 3.789
Ag -2.804 -0.525 0.723

---

# 5
4
Lattice="4.789 0.000 0.000 2.394 4.147 0.000 2.394 1.382 3.910" Properties=species:S:1:pos:R:3 comment="PBE-GGA Sb2OsPt, optimized geometry" spacegroup=F-43m magmom_total_mub_per_cell=0.000 e_form_raw_ev_per_atom=0.736 e_tot_ev_per_atom=-5.643 e_above_lowest_polymorph_ev_per_atom=0.6328 pbc="T T T"
Os 4.789 2.765 1.955
Pt 7.183 4.147 2.932
Sb 0.000 0.000 0.000
Sb 2.394 1.382 0.977

---

# 6
5
Lattice="4.899 0.000 0.000 0.000 5.371 0.000 0.000 0.000 4.899" Properties=species:S:1:pos:R:3 comment="PBE-GGA YBeCo2Cl, optimized geometry" spacegroup=P4/mmm magmom_total_mub_per_cell=2.389 e_form_raw_ev_per_atom=1.694 e_tot_ev_per_atom=-3.556 pbc="T T T"
Y 0.000 0.000 0.000
Be 0.000 2.685 0.000
Co 0.000 0.000 2.450
Co 2.450 0.000 0.000
Cl 2.450 2.685 2.450